## YAlZnPt2 (PBE-GGA)

Data for an optimized crystal structure of YAlZnPt2.

Summary:
- Theoretical density: 10.21 g/cm3
- Total energy: -5.68 eV/atom
- Total magnetic moment: 0.004 Bohr magnetons per cell

```
YAlZnPt2
1.0
-4.754 -3.634 2.985
-2.876 0.591 6.008
1.878 3.162 -5.585
Al Pt Y Zn
1 2 1 1
direct
0.250 0.750 0.500
0.112 0.112 0.000
0.888 0.888 0.000
0.500 0.500 0.000
0.750 0.250 0.500
```


## YAlZn2Pt (PBE-GGA)

Data for an optimized crystal structure of YAlZn2Pt.

Summary:
- Theoretical density: 8.16 g/cm3
- Total energy: -4.37 eV/atom
- Total magnetic moment: 0.004 Bohr magnetons per cell

```
YAlZn2Pt
1.0
-1.963 1.963 5.832
1.963 -1.963 5.832
1.963 1.963 -5.832
Al Pt Y Zn
1 1 1 2
direct
0.000 0.000 0.000
0.500 0.500 0.000
0.250 0.750 0.500
0.645 0.145 0.500
0.855 0.355 0.500
```


## Al2Zn2Pt (PBE-GGA)

Data for an optimized crystal structure of Al2Zn2Pt.

Summary:
- Theoretical density: 6.87 g/cm3
- Total energy: -3.28 eV/atom
- Total magnetic moment: 0.001 Bohr magnetons per cell

```
Al2Zn2Pt
1.0
3.835 -3.384 1.536
-2.055 -2.310 4.354
-2.224 0.479 -4.831
Al Pt Zn
2 1 2
direct
0.500 0.000 0.500
0.000 0.500 0.500
0.000 0.000 0.000
0.305 0.305 0.000
0.695 0.695 0.000
```


## AlZn2Pt (PBE-GGA)

Data for an optimized crystal structure of AlZn2Pt.

Summary:
- Theoretical density: 10.02 g/cm3
- Total energy: -3.47 eV/atom
- Total magnetic moment: 0.000 Bohr magnetons per cell

```
AlZn2Pt
1.0
-1.672 1.254 3.823
-3.070 -2.414 1.931
0.940 -2.228 3.625
Al Pt Zn
1 1 2
direct
0.500 0.500 0.500
0.250 0.250 0.250
0.000 0.000 0.000
0.750 0.750 0.750
```


## Zr3Al2ZnPt3 (PBE-GGA)

Data for an optimized crystal structure of Zr3Al2ZnPt3.

Summary:
- Theoretical density: 10.09 g/cm3
- Total energy: -6.82 eV/atom
- Total magnetic moment: 0.003 Bohr magnetons per cell

```
Zr3Al2ZnPt3
1.0
-1.474 -1.320 -2.984
-5.740 -2.101 3.765
0.071 6.552 -2.934
Al Pt Zn Zr
2 3 1 3
direct
0.000 0.997 0.739
0.000 0.739 0.997
0.000 0.675 0.334
0.000 0.334 0.675
0.500 0.992 0.992
0.000 0.267 0.267
0.500 0.397 0.006
0.500 0.006 0.397
0.500 0.593 0.593
```


## Zr3AlZn2Pt3 (PBE-GGA)

Data for an optimized crystal structure of Zr3AlZn2Pt3.

Summary:
- Theoretical density: 10.52 g/cm3
- Total energy: -6.47 eV/atom
- Total magnetic moment: 0.020 Bohr magnetons per cell

```
Zr3AlZn2Pt3
1.0
3.579 0.000 0.000
0.000 6.276 3.571
0.000 -6.276 3.571
Al Pt Zn Zr
1 3 2 3
direct
0.000 0.257 0.257
0.500 0.009 0.009
0.000 0.658 0.332
0.000 0.332 0.658
0.000 0.736 0.003
0.000 0.003 0.736
0.500 0.995 0.400
0.500 0.609 0.609
0.500 0.400 0.995
```


## PuAl2 (PBE-GGA)

Data for an optimized crystal structure of PuAl2.

Summary:
- Theoretical density: 5.32 g/cm3
- Total energy: -6.44 eV/atom
- Total magnetic moment: 12.914 Bohr magnetons per cell

```
PuAl2
1.0
5.796 0.000 0.000
0.000 5.796 0.000
0.000 0.000 5.540
Al Pu
4 2
direct
0.348 0.348 0.000
0.652 0.652 0.000
0.848 0.152 0.500
0.152 0.848 0.500
0.000 0.000 0.000
0.500 0.500 0.500
```


## Pu3Al2 (PBE-GGA)

Data for an optimized crystal structure of Pu3Al2.

Summary:
- Theoretical density: 11.02 g/cm3
- Total energy: -10.09 eV/atom
- Total magnetic moment: 34.767 Bohr magnetons per cell

```
Pu3Al2
1.0
4.965 4.237 -6.032
-8.710 -1.094 -1.390
3.926 4.785 0.045
Al Pu
4 6
direct
0.624 0.376 0.127
0.876 0.124 0.373
0.124 0.876 0.627
0.376 0.624 0.873
0.573 0.750 0.250
0.927 0.427 0.250
0.250 0.073 0.250
0.750 0.927 0.750
0.073 0.573 0.750
0.427 0.250 0.750
```


## PuAl2 (PBE-GGA)

Data for an optimized crystal structure of PuAl2.

Summary:
- Theoretical density: 8.34 g/cm3
- Total energy: -7.62 eV/atom
- Total magnetic moment: 11.109 Bohr magnetons per cell

```
PuAl2
1.0
-3.909 -3.826 0.717
-4.838 1.389 2.257
-4.562 0.102 -3.100
Al Pu
4 2
direct
0.125 0.125 0.125
0.625 0.125 0.125
0.125 0.625 0.125
0.125 0.125 0.625
0.500 0.500 0.500
0.750 0.750 0.750
```


## PuAlRe (PBE-GGA)

Data for an optimized crystal structure of PuAlRe.

Summary:
- Theoretical density: 13.07 g/cm3
- Energy above the lowest structure with this stoichiometry: 0 kJ/mol of formula units
- Total energy: -9.57 eV/atom
- Total magnetic moment: 4.403 Bohr magnetons per cell

```
PuAlRe
1.0
0.000 3.074 3.074
3.074 0.000 3.074
3.074 3.074 0.000
Al Pu Re
1 1 1
direct
0.000 0.000 0.000
0.250 0.250 0.250
0.750 0.750 0.750
```


## PuAlRe (PBE-GGA)

Data for an optimized crystal structure of PuAlRe.

Summary:
- Theoretical density: 12.33 g/cm3
- Energy above the lowest structure with this stoichiometry: 142 kJ/mol of formula units
- Total energy: -9.08 eV/atom
- Total magnetic moment: 3.969 Bohr magnetons per cell

```
PuAlRe
1.0
-1.225 -3.680 2.144
-1.522 0.259 4.154
-4.286 -0.752 0.841
Al Pu Re
1 1 1
direct
0.500 0.500 0.500
0.250 0.250 0.250
0.000 0.000 0.000
```


## Pu2Al3Si4 (PBE-GGA)

Data for an optimized crystal structure of Pu2Al3Si4.

Summary:
- Theoretical density: 7.07 g/cm3
- Total energy: -7.18 eV/atom
- Total magnetic moment: 21.372 Bohr magnetons per cell

```
Pu2Al3Si4
1.0
2.860 -7.304 0.000
2.860 7.304 0.000
0.000 0.000 7.658
Al Pu Si
6 4 8
direct
0.000 0.000 0.000
0.031 0.469 0.250
0.531 0.969 0.250
0.500 0.500 0.500
0.469 0.031 0.750
0.969 0.531 0.750
0.612 0.388 0.078
0.112 0.888 0.422
0.888 0.112 0.578
0.388 0.612 0.922
0.183 0.817 0.048
0.201 0.299 0.250
0.701 0.799 0.250
0.683 0.317 0.452
0.317 0.683 0.548
0.299 0.201 0.750
0.799 0.701 0.750
0.817 0.183 0.952
```


## SmPuAl (PBE-GGA)

Data for an optimized crystal structure of SmPuAl.

Summary:
- Theoretical density: 7.70 g/cm3
- Energy above the lowest structure with this stoichiometry: 0 kJ/mol of formula units
- Total energy: -7.38 eV/atom
- Total magnetic moment: 6.294 Bohr magnetons per cell

```
SmPuAl
1.0
0.000 3.568 3.568
3.568 0.000 3.568
3.568 3.568 0.000
Al Pu Sm
1 1 1
direct
0.000 0.000 0.000
0.250 0.250 0.250
0.750 0.750 0.750
```


## TbPuAl (PBE-GGA)

Data for an optimized crystal structure of TbPuAl.

Summary:
- Theoretical density: 8.05 g/cm3
- Energy above the lowest structure with this stoichiometry: 0 kJ/mol of formula units
- Total energy: -7.36 eV/atom
- Total magnetic moment: 6.289 Bohr magnetons per cell

```
TbPuAl
1.0
0.000 3.540 3.540
3.540 0.000 3.540
3.540 3.540 0.000
Al Pu Tb
1 1 1
direct
0.000 0.000 0.000
0.250 0.250 0.250
0.750 0.750 0.750
```


## PuAlTc (PBE-GGA)

Data for an optimized crystal structure of PuAlTc.

Summary:
- Theoretical density: 10.38 g/cm3
- Energy above the lowest structure with this stoichiometry: 0 kJ/mol of formula units
- Total energy: -9.00 eV/atom
- Total magnetic moment: 4.432 Bohr magnetons per cell

```
PuAlTc
1.0
-2.457 2.008 3.006
-4.044 1.316 -1.008
-3.457 -2.048 1.720
Al Pu Tc
1 1 1
direct
0.000 0.000 0.000
0.250 0.250 0.250
0.750 0.750 0.750
```


## PuAlTc (PBE-GGA)

Data for an optimized crystal structure of PuAlTc.

Summary:
- Theoretical density: 9.97 g/cm3
- Energy above the lowest structure with this stoichiometry: 127 kJ/mol of formula units
- Total energy: -8.56 eV/atom
- Total magnetic moment: 4.213 Bohr magnetons per cell

```
PuAlTc
1.0
2.603 -0.298 3.572
-0.723 2.627 3.492
-1.592 -1.708 3.764
Al Pu Tc
1 1 1
direct
0.250 0.250 0.250
0.000 0.000 0.000
0.750 0.750 0.750
```


## TmPuAl (PBE-GGA)

Data for an optimized crystal structure of TmPuAl.

Summary:
- Theoretical density: 8.47 g/cm3
- Energy above the lowest structure with this stoichiometry: 0 kJ/mol of formula units
- Total energy: -7.31 eV/atom
- Total magnetic moment: 6.255 Bohr magnetons per cell

```
TmPuAl
1.0
2.212 2.050 3.936
0.861 4.882 0.097
-2.591 2.914 3.063
Al Pu Tm
1 1 1
direct
0.000 0.000 0.000
0.250 0.250 0.250
0.750 0.750 0.750
```


## PuUAl (PBE-GGA)

Data for an optimized crystal structure of PuUAl.

Summary:
- Theoretical density: 12.21 g/cm3
- Total energy: -9.12 eV/atom
- Total magnetic moment: 6.289 Bohr magnetons per cell

```
PuUAl
1.0
0.000 3.259 3.259
3.259 0.000 3.259
3.259 3.259 0.000
Al Pu U
1 1 1
direct
0.250 0.250 0.250
0.750 0.750 0.750
0.000 0.000 0.000
```


## PuAlW (PBE-GGA)

Data for an optimized crystal structure of PuAlW.

Summary:
- Theoretical density: 12.01 g/cm3
- Energy above the lowest structure with this stoichiometry: 154 kJ/mol of formula units
- Total energy: -9.02 eV/atom
- Total magnetic moment: 3.548 Bohr magnetons per cell

```
PuAlW
1.0
0.000 3.156 3.156
3.156 0.000 3.156
3.156 3.156 0.000
Al Pu W
1 1 1
direct
0.000 0.000 0.000
0.250 0.250 0.250
0.500 0.500 0.500
```


## PuAlW (PBE-GGA)

Data for an optimized crystal structure of PuAlW.

Summary:
- Theoretical density: 12.53 g/cm3
- Energy above the lowest structure with this stoichiometry: 0 kJ/mol of formula units
- Total energy: -9.56 eV/atom
- Total magnetic moment: 4.228 Bohr magnetons per cell

```
PuAlW
1.0
2.760 -3.382 -0.558
-1.574 -3.976 -1.041
0.674 -1.649 -4.024
Al Pu W
1 1 1
direct
0.000 0.000 0.000
0.250 0.250 0.250
0.750 0.750 0.750
```


## YPuAl (PBE-GGA)

Data for an optimized crystal structure of YPuAl.

Summary:
- Theoretical density: 6.63 g/cm3
- Energy above the lowest structure with this stoichiometry: 0 kJ/mol of formula units
- Total energy: -7.98 eV/atom
- Total magnetic moment: 6.368 Bohr magnetons per cell

```
YPuAl
1.0
0.945 -0.141 4.941
-1.216 3.924 2.907
-3.799 -0.379 3.278
Al Pu Y
1 1 1
direct
0.000 0.000 0.000
0.250 0.250 0.250
0.750 0.750 0.750
```


## PuZrAl (PBE-GGA)

Data for an optimized crystal structure of PuZrAl.

Summary:
- Theoretical density: 7.73 g/cm3
- Energy above the lowest structure with this stoichiometry: 0 kJ/mol of formula units
- Total energy: -8.55 eV/atom
- Total magnetic moment: 6.421 Bohr magnetons per cell

```
PuZrAl
1.0
0.000 3.389 3.389
3.389 0.000 3.389
3.389 3.389 0.000
Al Pu Zr
1 1 1
direct
0.000 0.000 0.000
0.250 0.250 0.250
0.750 0.750 0.750
```


## RbAlRe (PBE-GGA)

Data for an optimized crystal structure of RbAlRe.

Summary:
- Theoretical density: 4.96 g/cm3
- Energy above the lowest structure with this stoichiometry: 214 kJ/mol of formula units
- Total energy: -3.10 eV/atom
- Total magnetic moment: 3.214 Bohr magnetons per cell

```
RbAlRe
1.0
-2.902 -1.239 4.144
-4.481 -2.578 -0.635
-0.385 -4.967 1.518
Al Rb Re
1 1 1
direct
0.250 0.250 0.250
0.000 0.000 0.000
0.750 0.750 0.750
```


## RbAlRe (PBE-GGA)

Data for an optimized crystal structure of RbAlRe.

Summary:
- Theoretical density: 6.65 g/cm3
- Energy above the lowest structure with this stoichiometry: 0 kJ/mol of formula units
- Total energy: -3.83 eV/atom
- Total magnetic moment: 1.012 Bohr magnetons per cell

```
RbAlRe
1.0
0.000 3.341 3.341
3.341 0.000 3.341
3.341 3.341 0.000
Al Rb Re
1 1 1
direct
0.250 0.250 0.250
0.750 0.750 0.750
0.000 0.000 0.000
```


## Rb2AlReS6 (PBE-GGA)

Data for an optimized crystal structure of Rb2AlReS6.

Summary:
- Theoretical density: 3.69 g/cm3
- Total energy: -4.90 eV/atom
- Total magnetic moment: 3.316 Bohr magnetons per cell

```
Rb2AlReS6
1.0
-4.339 3.853 2.851
-1.964 -5.240 -3.237
0.977 -7.789 12.016
Al Rb Re S
2 4 2 12
direct
0.333 0.667 0.250
0.667 0.333 0.750
0.667 0.333 0.069
0.667 0.333 0.431
0.333 0.667 0.569
0.333 0.667 0.931
0.000 0.000 0.250
0.000 0.000 0.750
0.177 0.324 0.146
0.148 0.823 0.146
0.676 0.852 0.146
0.148 0.324 0.354
0.676 0.823 0.354
0.177 0.852 0.354
0.823 0.148 0.646
0.324 0.177 0.646
0.852 0.676 0.646
0.324 0.148 0.854
0.852 0.177 0.854
0.823 0.676 0.854
```


## RbTmAlSe3 (PBE-GGA)

Data for an optimized crystal structure of RbTmAlSe3.

Summary:
- Theoretical density: 4.83 g/cm3
- Energy above the lowest structure with this stoichiometry: 0 kJ/mol of formula units
- Total energy: -4.52 eV/atom
- Total magnetic moment: 0.837 Bohr magnetons per cell

```
RbTmAlSe3
1.0
-0.914 5.212 5.926
0.067 -1.448 -7.811
-10.607 -2.225 0.322
Al Rb Se Tm
2 2 6 2
direct
0.471 0.529 0.250
0.529 0.471 0.750
0.742 0.258 0.250
0.258 0.742 0.750
0.379 0.621 0.066
0.056 0.944 0.250
0.379 0.621 0.434
0.621 0.379 0.566
0.944 0.056 0.750
0.621 0.379 0.934
0.000 0.000 0.000
0.000 0.000 0.500
```


## RbTmAlSe3 (PBE-GGA)

Data for an optimized crystal structure of RbTmAlSe3.

Summary:
- Theoretical density: 5.30 g/cm3
- Energy above the lowest structure with this stoichiometry: 30 kJ/mol of formula units
- Total energy: -4.47 eV/atom
- Total magnetic moment: 0.365 Bohr magnetons per cell

```
RbTmAlSe3
1.0
-7.196 -5.880 6.136
2.921 -3.600 -0.025
5.421 4.324 10.502
Al Rb Se Tm
4 4 12 4
direct
0.229 0.250 0.223
0.729 0.250 0.277
0.271 0.750 0.723
0.771 0.750 0.777
0.328 0.750 0.006
0.828 0.750 0.494
0.172 0.250 0.506
0.672 0.250 0.994
0.094 0.250 0.064
0.444 0.250 0.183
0.707 0.750 0.202
0.207 0.750 0.298
0.944 0.250 0.317
0.594 0.250 0.436
0.406 0.750 0.564
0.056 0.750 0.683
0.793 0.250 0.702
0.293 0.250 0.798
0.556 0.750 0.817
0.906 0.750 0.936
0.972 0.750 0.172
0.472 0.750 0.328
0.528 0.250 0.672
0.028 0.250 0.828
```